(1)
! CeSm3As4 PBE relaxed; values from VASP
&SYSTEM
  ibrav = 0, nat = 8, ntyp = 3
/
ATOMIC_SPECIES
As 74.92 As.upf
Sm 150.36 Sm.upf
Ce 140.12 Ce.upf
CELL_PARAMETERS angstrom
4.214 0.000 0.000
0.000 7.296 -0.066
0.000 -2.363 6.903
ATOMIC_POSITIONS crystal
As 0.500 0.752 0.248
As 0.500 0.248 0.752
As 0.000 0.248 0.248
As 0.000 0.752 0.752
Sm 0.500 0.500 0.500
Sm 0.000 0.500 0.000
Sm 0.000 0.000 0.500
Ce 0.500 0.000 0.000
! - M_tot (Bohr magnetons per cell) = 0.6
! - energy of formation from the pure elements (meV per atom) = -1509
! - symmetry = Cmmm

***

(2)
! Ce5Sm3As8 PBE relaxed; values from VASP
&SYSTEM
  ibrav = 0, nat = 16, ntyp = 3
/
ATOMIC_SPECIES
As 74.92 As.upf
Sm 150.36 Sm.upf
Ce 140.12 Ce.upf
CELL_PARAMETERS angstrom
-8.319 0.013 1.377
-3.563 -6.283 4.351
-2.987 1.406 7.756
ATOMIC_POSITIONS crystal
As 0.750 0.750 0.249
As 0.750 0.251 0.249
As 0.749 0.749 0.753
As 0.251 0.750 0.249
As 0.250 0.250 0.751
As 0.250 0.749 0.751
As 0.251 0.251 0.247
As 0.749 0.250 0.751
Sm 0.500 0.000 0.500
Sm 0.000 0.500 0.500
Sm 0.000 0.000 0.500
Ce 0.500 0.000 0.000
Ce 0.500 0.500 0.500
Ce 0.000 0.500 0.000
Ce 0.000 0.000 0.000
Ce 0.500 0.500 0.000
! - M_tot (Bohr magnetons per cell) = 3.3
! - energy of formation from the pure elements (meV per atom) = -1467
! - symmetry = R-3m

***

(3)
! CeSm2As3 PBE relaxed; values from VASP
&SYSTEM
  ibrav = 0, nat = 6, ntyp = 3
/
ATOMIC_SPECIES
As 74.92 As.upf
Sm 150.36 Sm.upf
Ce 140.12 Ce.upf
CELL_PARAMETERS angstrom
-3.115 0.160 2.837
0.190 -5.929 0.543
5.717 3.445 2.949
ATOMIC_POSITIONS crystal
As 0.835 0.835 0.670
As 0.500 0.500 0.000
As 0.165 0.165 0.330
Sm 0.167 0.667 0.334
Sm 0.833 0.333 0.666
Ce 0.500 0.000 0.000
! - M_tot (Bohr magnetons per cell) = 0.6
! - energy of formation from the pure elements (meV per atom) = -1501
! - symmetry = Immm

***

(4)
! CeSmAs2 PBE relaxed; values from VASP
&SYSTEM
  ibrav = 0, nat = 4, ntyp = 3
/
ATOMIC_SPECIES
As 74.92 As.upf
Sm 150.36 Sm.upf
Ce 140.12 Ce.upf
CELL_PARAMETERS angstrom
-0.800 -3.505 2.126
0.849 -3.717 -1.706
6.605 -2.199 2.964
ATOMIC_POSITIONS crystal
As 0.082 0.082 0.755
As 0.252 0.252 0.244
Sm 0.497 0.497 0.510
Ce 0.669 0.669 0.992
! - M_tot (Bohr magnetons per cell) = 0.8
! - energy of formation from the pure elements (meV per atom) = -1325
! - symmetry = R3m

***

(5)
! CeSmAs2 PBE relaxed; values from VASP
&SYSTEM
  ibrav = 0, nat = 8, ntyp = 3
/
ATOMIC_SPECIES
Sm 150.36 Sm.upf
As 74.92 As.upf
Ce 140.12 Ce.upf
CELL_PARAMETERS angstrom
-2.435 1.548 -3.052
-0.187 -4.083 0.968
-9.913 2.647 9.252
ATOMIC_POSITIONS crystal
Sm 0.667 0.333 0.250
Sm 0.333 0.667 0.750
As 0.333 0.667 0.378
As 0.667 0.333 0.622
As 0.667 0.333 0.878
As 0.333 0.667 0.122
Ce 0.000 0.000 0.500
Ce 0.000 0.000 0.000
! - M_tot (Bohr magnetons per cell) = 1.2
! - energy of formation from the pure elements (meV per atom) = -1437
! - symmetry = P6_3/mmc

***

(6)
! Sr2CeSmAs4 PBE relaxed; values from VASP
&SYSTEM
  ibrav = 0, nat = 8, ntyp = 4
/
ATOMIC_SPECIES
Sr 87.62 Sr.upf
As 74.92 As.upf
Sm 150.36 Sm.upf
Ce 140.12 Ce.upf
CELL_PARAMETERS angstrom
-0.344 -0.621 -4.269
-6.897 -2.793 0.962
-0.451 7.497 -1.054
ATOMIC_POSITIONS crystal
Sr 0.000 0.500 0.500
Sr 0.500 0.000 0.500
As 0.000 0.745 0.225
As 0.000 0.255 0.775
As 0.500 0.237 0.222
As 0.500 0.763 0.778
Sm 0.500 0.500 0.000
Ce 0.000 0.000 0.000
! - M_tot (Bohr magnetons per cell) = 0.0
! - energy of formation from the pure elements (meV per atom) = -1238
! - symmetry = P2/m

***

(7)
! Sr3Ce2SmAs6 PBE relaxed; values from VASP
&SYSTEM
  ibrav = 0, nat = 12, ntyp = 4
/
ATOMIC_SPECIES
Sm 150.36 Sm.upf
Sr 87.62 Sr.upf
As 74.92 As.upf
Ce 140.12 Ce.upf
CELL_PARAMETERS angstrom
7.510 -0.003 0.000
-3.756 6.503 0.000
-1.253 -2.169 7.130
ATOMIC_POSITIONS crystal
Sm 0.000 0.000 0.000
Sr 0.500 0.500 0.500
Sr 0.165 0.835 0.500
Sr 0.835 0.165 0.500
As 0.264 0.264 0.778
As 0.074 0.413 0.222
As 0.587 0.926 0.778
As 0.926 0.587 0.778
As 0.736 0.736 0.222
As 0.413 0.074 0.222
Ce 0.333 0.667 0.000
Ce 0.667 0.333 0.000
! - M_tot (Bohr magnetons per cell) = 0.0
! - energy of formation from the pure elements (meV per atom) = -1258
! - symmetry = C2/m

***

(8)
! Tb3Ce2SmAs6 PBE relaxed; values from VASP
&SYSTEM
  ibrav = 0, nat = 12, ntyp = 4
/
ATOMIC_SPECIES
Ce 140.12 Ce.upf
As 74.92 As.upf
Tb 158.93 Tb.upf
Sm 150.36 Sm.upf
CELL_PARAMETERS angstrom
7.236 -0.001 0.001
-3.617 6.267 0.001
-1.207 -2.089 6.812
ATOMIC_POSITIONS crystal
Ce 0.333 0.667 0.000
Ce 0.667 0.333 0.000
As 0.251 0.251 0.746
As 0.916 0.580 0.747
As 0.749 0.749 0.254
As 0.084 0.420 0.253
As 0.420 0.084 0.253
As 0.580 0.916 0.747
Tb 0.500 0.500 0.500
Tb 0.834 0.166 0.500
Tb 0.166 0.834 0.500
Sm 0.000 0.000 0.000
! - M_tot (Bohr magnetons per cell) = 1.2
! - energy of formation from the pure elements (meV per atom) = -1505
! - symmetry = C2/m

***

(9)
! Tb2CeSmAs4 PBE relaxed; values from VASP
&SYSTEM
  ibrav = 0, nat = 8, ntyp = 4
/
ATOMIC_SPECIES
Tb 158.93 Tb.upf
Sm 150.36 Sm.upf
Ce 140.12 Ce.upf
As 74.92 As.upf
CELL_PARAMETERS angstrom
-3.277 2.507 0.650
-2.016 -4.088 5.607
3.106 2.496 6.037
ATOMIC_POSITIONS crystal
Tb 0.000 0.000 0.000
Tb 0.500 0.000 0.500
Sm 0.500 0.500 0.000
Ce 0.000 0.500 0.500
As 0.000 0.753 0.747
As 0.500 0.753 0.250
As 0.000 0.247 0.253
As 0.500 0.247 0.750
! - M_tot (Bohr magnetons per cell) = 0.6
! - energy of formation from the pure elements (meV per atom) = -1513
! - symmetry = P2/m

***

(10)
! Tb3CeSm2As6 PBE relaxed; values from VASP
&SYSTEM
  ibrav = 0, nat = 12, ntyp = 4
/
ATOMIC_SPECIES
Sm 150.36 Sm.upf
Tb 158.93 Tb.upf
As 74.92 As.upf
Ce 140.12 Ce.upf
CELL_PARAMETERS angstrom
4.180 0.000 0.000
0.000 8.348 0.304
-2.090 -2.400 8.768
ATOMIC_POSITIONS crystal
Sm 0.167 0.335 0.335
Sm 0.833 0.665 0.665
Tb 0.167 0.832 0.335
Tb 0.500 0.500 0.000
Tb 0.833 0.168 0.665
As 0.335 0.414 0.669
As 0.665 0.586 0.331
As 0.999 0.250 0.998
As 0.001 0.750 0.002
As 0.333 0.920 0.667
As 0.667 0.080 0.333
Ce 0.500 0.000 0.000
! - M_tot (Bohr magnetons per cell) = 0.5
! - energy of formation from the pure elements (meV per atom) = -1522
! - symmetry = C2/m

***

(11)
! TbCe2Sm3As6 PBE relaxed; values from VASP
&SYSTEM
  ibrav = 0, nat = 12, ntyp = 4
/
ATOMIC_SPECIES
Ce 140.12 Ce.upf
Sm 150.36 Sm.upf
Tb 158.93 Tb.upf
As 74.92 As.upf
CELL_PARAMETERS angstrom
-0.618 3.485 -6.355
-0.232 -7.268 0.200
-6.528 1.499 2.844
ATOMIC_POSITIONS crystal
Ce 0.333 0.667 0.000
Ce 0.667 0.333 0.000
Sm 0.833 0.167 0.500
Sm 0.167 0.833 0.500
Sm 0.500 0.500 0.500
Tb 0.000 0.000 0.000
As 0.250 0.250 0.753
As 0.082 0.415 0.246
As 0.415 0.082 0.246
As 0.918 0.585 0.754
As 0.585 0.918 0.754
As 0.750 0.750 0.247
! - M_tot (Bohr magnetons per cell) = 1.1
! - energy of formation from the pure elements (meV per atom) = -1502
! - symmetry = C2/m

***

(12)
! TbCeSm2As4 PBE relaxed; values from VASP
&SYSTEM
  ibrav = 0, nat = 8, ntyp = 4
/
ATOMIC_SPECIES
As 74.92 As.upf
Sm 150.36 Sm.upf
Ce 140.12 Ce.upf
Tb 158.93 Tb.upf
CELL_PARAMETERS angstrom
4.195 0.000 0.000
0.000 7.257 0.129
0.000 -2.534 6.809
ATOMIC_POSITIONS crystal
As 0.000 0.250 0.753
As 0.000 0.750 0.247
As 0.500 0.248 0.245
As 0.500 0.752 0.755
Sm 0.500 0.000 0.500
Sm 0.000 0.500 0.500
Ce 0.500 0.500 0.000
Tb 0.000 0.000 0.000
! - M_tot (Bohr magnetons per cell) = 0.5
! - energy of formation from the pure elements (meV per atom) = -1510
! - symmetry = P2/m

***

(13)
! CeSmTeAs PBE relaxed; values from VASP
&SYSTEM
  ibrav = 0, nat = 4, ntyp = 4
/
ATOMIC_SPECIES
As 74.92 As.upf
Sm 150.36 Sm.upf
Te 127.60 Te.upf
Ce 140.12 Ce.upf
CELL_PARAMETERS angstrom
-0.551 3.097 2.940
1.784 -0.391 3.899
6.387 4.242 -0.119
ATOMIC_POSITIONS crystal
As 0.249 0.249 0.252
Sm 0.509 0.509 0.472
Te 0.751 0.751 0.748
Ce 0.991 0.991 0.027
! - M_tot (Bohr magnetons per cell) = 1.0
! - formation energy (no corrections) (meV/atom) = -1480
! - symmetry = R3m

***

(14)
! Ce2Sm3ThAs6 PBE relaxed; values from VASP
&SYSTEM
  ibrav = 0, nat = 12, ntyp = 4
/
ATOMIC_SPECIES
As 74.92 As.upf
Sm 150.36 Sm.upf
Ce 140.12 Ce.upf
Th 232.04 Th.upf
CELL_PARAMETERS angstrom
-0.060 1.999 7.043
-5.448 -4.081 -2.696
5.302 -5.025 0.204
ATOMIC_POSITIONS crystal
As 0.417 0.083 0.249
As 0.083 0.417 0.249
As 0.583 0.917 0.751
As 0.749 0.749 0.249
As 0.251 0.251 0.751
As 0.917 0.583 0.751
Sm 0.500 0.500 0.500
Sm 0.833 0.167 0.500
Sm 0.167 0.833 0.500
Ce 0.333 0.667 0.000
Ce 0.667 0.333 0.000
Th 0.000 0.000 0.000
! - M_tot (Bohr magnetons per cell) = 1.4
! - energy of formation from the pure elements (meV per atom) = -1490
! - symmetry = C2/m

***

(15)
! CeSm2Th3As6 PBE relaxed; values from VASP
&SYSTEM
  ibrav = 0, nat = 12, ntyp = 4
/
ATOMIC_SPECIES
As 74.92 As.upf
Th 232.04 Th.upf
Sm 150.36 Sm.upf
Ce 140.12 Ce.upf
CELL_PARAMETERS angstrom
-0.118 4.227 0.330
-5.187 -0.665 6.653
8.443 -2.181 3.697
ATOMIC_POSITIONS crystal
As 0.000 0.751 0.999
As 0.667 0.583 0.334
As 0.666 0.083 0.333
As 0.333 0.417 0.666
As 0.334 0.917 0.667
As 0.000 0.249 0.001
Th 0.833 0.168 0.666
Th 0.167 0.832 0.334
Th 0.500 0.500 0.000
Sm 0.833 0.665 0.665
Sm 0.167 0.335 0.335
Ce 0.500 0.000 0.000
! - M_tot (Bohr magnetons per cell) = 0.7
! - energy of formation from the pure elements (meV per atom) = -1461
! - symmetry = C2/m

***

(16)
! Ce4SmTh3As8 PBE relaxed; values from VASP
&SYSTEM
  ibrav = 0, nat = 16, ntyp = 4
/
ATOMIC_SPECIES
Th 232.04 Th.upf
As 74.92 As.upf
Ce 140.12 Ce.upf
Sm 150.36 Sm.upf
CELL_PARAMETERS angstrom
8.466 0.000 0.000
0.000 8.478 0.003
-4.233 -4.229 5.989
ATOMIC_POSITIONS crystal
Th 0.500 0.500 0.500
Th 0.000 0.500 0.500
Th 0.500 0.500 0.000
As 0.250 0.751 0.001
As 0.750 0.249 0.500
As 0.750 0.249 0.999
As 0.751 0.752 0.501
As 0.250 0.751 0.500
As 0.249 0.248 0.499
As 0.249 0.249 0.999
As 0.751 0.751 0.001
Ce 0.000 0.000 0.500
Ce 0.500 0.000 0.000
Ce 0.000 0.000 0.000
Ce 0.500 0.000 0.500
Sm 0.000 0.500 0.000
! - M_tot (Bohr magnetons per cell) = 3.1
! - energy of formation from the pure elements (meV per atom) = -1445
! - symmetry = R-3m

***

(17)
! CeSmTh2As4 PBE relaxed; values from VASP
&SYSTEM
  ibrav = 0, nat = 8, ntyp = 4
/
ATOMIC_SPECIES
As 74.92 As.upf
Ce 140.12 Ce.upf
Sm 150.36 Sm.upf
Th 232.04 Th.upf
CELL_PARAMETERS angstrom
-2.865 3.017 0.823
-0.918 -2.713 6.746
4.723 3.228 4.607
ATOMIC_POSITIONS crystal
As 0.000 0.749 0.750
As 0.000 0.251 0.250
As 0.500 0.748 0.251
As 0.500 0.252 0.749
Ce 0.000 0.500 0.500
Sm 0.500 0.500 0.000
Th 0.000 0.000 0.000
Th 0.500 0.000 0.500
! - M_tot (Bohr magnetons per cell) = 0.7
! - energy of formation from the pure elements (meV per atom) = -1453
! - symmetry = P2/m

***

(18)
! CeSm3Th2As6 PBE relaxed; values from VASP
&SYSTEM
  ibrav = 0, nat = 12, ntyp = 4
/
ATOMIC_SPECIES
As 74.92 As.upf
Th 232.04 Th.upf
Sm 150.36 Sm.upf
Ce 140.12 Ce.upf
CELL_PARAMETERS angstrom
-1.332 0.767 3.947
7.800 -1.429 2.910
0.708 8.667 -3.718
ATOMIC_POSITIONS crystal
As 0.000 0.751 0.000
As 0.333 0.917 0.667
As 0.000 0.249 0.000
As 0.667 0.083 0.333
As 0.667 0.584 0.333
As 0.333 0.416 0.667
Th 0.834 0.668 0.668
Th 0.166 0.332 0.332
Sm 0.500 0.500 0.000
Sm 0.166 0.833 0.333
Sm 0.834 0.167 0.667
Ce 0.500 0.000 0.000
! - M_tot (Bohr magnetons per cell) = 0.8
! - energy of formation from the pure elements (meV per atom) = -1486
! - symmetry = C2/m

***

(19)
! Ce3Sm2ThAs6 PBE relaxed; values from VASP
&SYSTEM
  ibrav = 0, nat = 12, ntyp = 4
/
ATOMIC_SPECIES
Sm 150.36 Sm.upf
Ce 140.12 Ce.upf
As 74.92 As.upf
Th 232.04 Th.upf
CELL_PARAMETERS angstrom
7.315 -0.002 0.000
-3.657 6.335 0.000
-1.220 -2.112 6.911
ATOMIC_POSITIONS crystal
Sm 0.333 0.667 0.000
Sm 0.667 0.333 0.000
Ce 0.167 0.833 0.500
Ce 0.833 0.167 0.500
Ce 0.500 0.500 0.500
As 0.084 0.417 0.251
As 0.916 0.583 0.749
As 0.417 0.084 0.251
As 0.583 0.916 0.749
As 0.751 0.751 0.251
As 0.249 0.249 0.749
Th 0.000 0.000 0.000
! - M_tot (Bohr magnetons per cell) = 2.2
! - energy of formation from the pure elements (meV per atom) = -1470
! - symmetry = C2/m

***

(20)
! CeSm2ThAs4 PBE relaxed; values from VASP
&SYSTEM
  ibrav = 0, nat = 8, ntyp = 4
/
ATOMIC_SPECIES
As 74.92 As.upf
Th 232.04 Th.upf
Sm 150.36 Sm.upf
Ce 140.12 Ce.upf
CELL_PARAMETERS angstrom
4.233 0.000 0.000
0.000 7.311 -0.139
0.000 2.579 6.858
ATOMIC_POSITIONS crystal
As 0.500 0.750 0.249
As 0.000 0.749 0.751
As 0.500 0.250 0.751
As 0.000 0.251 0.249
Th 0.000 0.500 0.500
Sm 0.500 0.000 0.500
Sm 0.000 0.000 0.000
Ce 0.500 0.500 0.000
! - M_tot (Bohr magnetons per cell) = 0.8
! - energy of formation from the pure elements (meV per atom) = -1490
! - symmetry = P2/m

***

(21)
! CeSm2Tm3As6 PBE relaxed; values from VASP
&SYSTEM
  ibrav = 0, nat = 12, ntyp = 4
/
ATOMIC_SPECIES
As 74.92 As.upf
Sm 150.36 Sm.upf
Tm 168.93 Tm.upf
Ce 140.12 Ce.upf
CELL_PARAMETERS angstrom
4.145 0.000 0.000
0.000 8.268 0.307
-2.072 -2.371 8.689
ATOMIC_POSITIONS crystal
As 0.332 0.923 0.665
As 0.998 0.253 0.996
As 0.002 0.747 0.004
As 0.668 0.077 0.335
As 0.336 0.411 0.671
As 0.664 0.589 0.329
Sm 0.833 0.665 0.665
Sm 0.167 0.335 0.335
Tm 0.833 0.167 0.665
Tm 0.500 0.500 0.000
Tm 0.167 0.833 0.335
Ce 0.500 0.000 0.000
! - M_tot (Bohr magnetons per cell) = 0.5
! - energy of formation from the pure elements (meV per atom) = -1499
! - symmetry = C2/m

***

(22)
! CeSm3Tm2As6 PBE relaxed; values from VASP
&SYSTEM
  ibrav = 0, nat = 12, ntyp = 4
/
ATOMIC_SPECIES
As 74.92 As.upf
Sm 150.36 Sm.upf
Tm 168.93 Tm.upf
Ce 140.12 Ce.upf
CELL_PARAMETERS angstrom
-4.751 5.407 -0.333
-1.777 -6.517 -2.508
-0.205 -1.344 7.090
ATOMIC_POSITIONS crystal
As 0.919 0.583 0.757
As 0.255 0.255 0.759
As 0.081 0.417 0.243
As 0.417 0.081 0.243
As 0.745 0.745 0.241
As 0.583 0.919 0.757
Sm 0.834 0.166 0.500
Sm 0.500 0.500 0.500
Sm 0.166 0.834 0.500
Tm 0.667 0.333 0.000
Tm 0.333 0.667 0.000
Ce 0.000 0.000 0.000
! - M_tot (Bohr magnetons per cell) = 0.5
! - energy of formation from the pure elements (meV per atom) = -1503
! - symmetry = C2/m